LiCeSiTc: relaxed, PBE-GGA.

Structure (CIF):
```
data_LiCeSiTc
_cell_length_a 6.440
_cell_length_b 6.440
_cell_length_c 6.440
_cell_angle_alpha 90.00
_cell_angle_beta 90.00
_cell_angle_gamma 90.00
_symmetry_space_group_name_H-M 'F -4 3 m'
_symmetry_Int_Tables_number 216
_symmetry_space_group_name_Hall 'F -4 2 3'
loop_
_atom_site_label
_atom_site_fract_x
_atom_site_fract_y
_atom_site_fract_z
Li1 0.000 0.000 0.000
Ce1 0.250 0.250 0.750
Si1 0.250 0.250 0.250
Tc1 0.000 0.000 0.500
```

## Properties
DOS at the Fermi energy (states/eV per cell): 14.20
Formation energy without anion corrections (eV/atom): -0.195


LiCeZnSi2: relaxed, PBE-GGA.

Structure (CIF):
```
data_LiCeZnSi2
_cell_length_a 4.100
_cell_length_b 4.100
_cell_length_c 10.587
_cell_angle_alpha 90.00
_cell_angle_beta 90.00
_cell_angle_gamma 90.00
_symmetry_space_group_name_H-M 'I -4 m 2'
_symmetry_Int_Tables_number 119
_symmetry_space_group_name_Hall 'I -4 -2'
loop_
_atom_site_label
_atom_site_fract_x
_atom_site_fract_y
_atom_site_fract_z
Li1 0.000 0.000 0.000
Ce1 0.000 0.500 0.250
Zn1 0.000 0.000 0.500
Si1 0.000 0.500 0.639
```

## Properties
DOS at the Fermi energy (states/eV per cell): 11.73
Formation energy without anion corrections (eV/atom): -0.476


LiCe2Zn4Si3: relaxed, PBE-GGA.

Structure (CIF):
```
data_LiCe2Zn4Si3
_cell_length_a 4.138
_cell_length_b 4.138
_cell_length_c 10.525
_cell_angle_alpha 90.00
_cell_angle_beta 90.00
_cell_angle_gamma 90.00
_symmetry_space_group_name_H-M 'P -4 m 2'
_symmetry_Int_Tables_number 115
_symmetry_space_group_name_Hall 'P -4 -2'
loop_
_atom_site_label
_atom_site_fract_x
_atom_site_fract_y
_atom_site_fract_z
Li1 0.000 0.000 0.000
Ce1 0.000 0.500 0.745
Zn1 0.000 0.000 0.500
Zn2 0.000 0.500 0.129
Zn3 0.500 0.500 0.500
Si1 0.000 0.500 0.359
Si2 0.500 0.500 0.000
```

## Properties
DOS at the Fermi energy (states/eV per cell): 13.77
Formation energy without anion corrections (eV/atom): -0.372


LiCeSm: relaxed, PBE-GGA.

Structure (CIF):
```
data_LiCeSm
_cell_length_a 3.415
_cell_length_b 3.415
_cell_length_c 14.579
_cell_angle_alpha 90.00
_cell_angle_beta 90.00
_cell_angle_gamma 90.00
_symmetry_space_group_name_H-M 'I 4 m m'
_symmetry_Int_Tables_number 107
_symmetry_space_group_name_Hall 'I 4 -2'
loop_
_atom_site_label
_atom_site_fract_x
_atom_site_fract_y
_atom_site_fract_z
Li1 0.000 0.000 0.000
Ce1 0.000 0.000 0.337
Sm1 0.000 0.000 0.662
```

## Properties
Energy of formation (eV/atom): 0.18
DOS at the Fermi energy (states/eV per cell): 12.53


LiCeSm: relaxed, PBE-GGA.

Structure (CIF):
```
data_LiCeSm
_cell_length_a 3.509
_cell_length_b 3.509
_cell_length_c 13.005
_cell_angle_alpha 90.00
_cell_angle_beta 90.00
_cell_angle_gamma 90.00
_symmetry_space_group_name_H-M 'P 4/n m m'
_symmetry_Int_Tables_number 129
loop_
_symmetry_equiv_pos_as_xyz
'x,y,z'
'-x,-y,-z'
'-y+1/2,x,z'
'y+1/2,-x,-z'
'-x+1/2,-y+1/2,z'
'x+1/2,y+1/2,-z'
'y,-x+1/2,z'
'-y,x+1/2,-z'
'x+1/2,-y,-z'
'-x+1/2,y,z'
'-y,-x,-z'
'y,x,z'
'-x,y+1/2,-z'
'x,-y+1/2,z'
'y+1/2,x+1/2,-z'
'-y+1/2,-x+1/2,z'
loop_
_atom_site_label
_atom_site_fract_x
_atom_site_fract_y
_atom_site_fract_z
Li1 0.250 0.250 0.054
Ce1 0.250 0.250 0.416
Sm1 0.250 0.250 0.771
```

## Properties
Energy of formation (eV/atom): 0.07
DOS at the Fermi energy (states/eV per cell): 9.37


LiCeSm: relaxed, PBE-GGA.

Structure (CIF):
```
data_LiCeSm
_cell_length_a 3.4239
_cell_length_b 3.4239
_cell_length_c 8.4727
_cell_angle_alpha 90.00
_cell_angle_beta 90.00
_cell_angle_gamma 120.00
_symmetry_space_group_name_H-M 'P 3 m 1'
_symmetry_Int_Tables_number 156
_symmetry_space_group_name_Hall 'P 3 -2"'
loop_
_atom_site_label
_atom_site_fract_x
_atom_site_fract_y
_atom_site_fract_z
Li1 0.0000 0.0000 0.0000
Ce1 0.6667 0.3333 0.3290
Sm1 0.3333 0.6667 0.6700
```

## Properties
Energy of formation (eV/atom): 0.16
DOS at the Fermi energy (states/eV per cell): 5.18


LiCeSmTc: relaxed, PBE-GGA.

Structure (CIF):
```
data_LiCeSmTc
_cell_length_a 7.062
_cell_length_b 7.062
_cell_length_c 7.062
_cell_angle_alpha 90.00
_cell_angle_beta 90.00
_cell_angle_gamma 90.00
_symmetry_space_group_name_H-M 'F -4 3 m'
_symmetry_Int_Tables_number 216
_symmetry_space_group_name_Hall 'F -4 2 3'
loop_
_atom_site_label
_atom_site_fract_x
_atom_site_fract_y
_atom_site_fract_z
Li1 0.000 0.000 0.000
Ce1 0.250 0.250 0.750
Sm1 0.250 0.250 0.250
Tc1 0.000 0.000 0.500
```

## Properties
Energy of formation (eV/atom): 0.04
DOS at the Fermi energy (states/eV per cell): 18.96


LiCe2SmTe5: relaxed, PBE-GGA.

Structure (CIF):
```
data_LiCe2SmTe5
_cell_length_a 4.440
_cell_length_b 18.837
_cell_length_c 13.277
_cell_angle_alpha 90.00
_cell_angle_beta 90.00
_cell_angle_gamma 90.00
_symmetry_space_group_name_H-M 'C m c 21'
_symmetry_Int_Tables_number 36
_symmetry_space_group_name_Hall 'C 2c -2'
loop_
_atom_site_label
_atom_site_fract_x
_atom_site_fract_y
_atom_site_fract_z
Li1 0.000 0.056 0.000
Ce1 0.000 0.375 0.842
Ce2 0.000 0.393 0.222
Sm1 0.000 0.301 0.547
Te1 0.000 0.002 0.317
Te2 0.000 0.135 0.537
Te3 0.000 0.187 0.882
Te4 0.000 0.215 0.211
Te5 0.000 0.454 0.610
```

## Properties
DOS at the Fermi energy (states/eV per cell): 57.85
Formation energy without anion corrections (eV/atom): -1.281


LiCe2SmTe4: relaxed, PBE-GGA.

Structure (CIF):
```
data_LiCe2SmTe4
_cell_length_a 7.696
_cell_length_b 4.437
_cell_length_c 7.713
_cell_angle_alpha 90.00
_cell_angle_beta 109.46
_cell_angle_gamma 90.00
_symmetry_space_group_name_H-M 'P 1 2/m 1'
_symmetry_Int_Tables_number 10
_symmetry_space_group_name_Hall '-P 2y'
loop_
_atom_site_label
_atom_site_fract_x
_atom_site_fract_y
_atom_site_fract_z
Li1 0.000 0.000 0.000
Ce1 0.000 0.500 0.500
Ce2 0.500 0.000 0.500
Sm1 0.500 0.500 0.000
Te1 0.239 0.500 0.236
Te2 0.245 0.000 0.760
```

## Properties
DOS at the Fermi energy (states/eV per cell): 15.59
Formation energy without anion corrections (eV/atom): -1.321


LiCe2SmTl4: relaxed, PBE-GGA.

Structure (CIF):
```
data_LiCe2SmTl4
_cell_length_a 5.3447
_cell_length_b 5.3447
_cell_length_c 27.1526
_cell_angle_alpha 90.00
_cell_angle_beta 90.00
_cell_angle_gamma 120.00
_symmetry_space_group_name_H-M 'R -3 m'
_symmetry_Int_Tables_number 166
_symmetry_space_group_name_Hall '-R 3 2"'
loop_
_atom_site_label
_atom_site_fract_x
_atom_site_fract_y
_atom_site_fract_z
Li1 0.0000 0.0000 0.0000
Ce1 0.0000 0.0000 0.2553
Sm1 0.0000 0.0000 0.5000
Tl1 0.0000 0.0000 0.1228
Tl2 0.0000 0.0000 0.3732
```

## Properties
Energy of formation (eV/atom): -0.27
DOS at the Fermi energy (states/eV per cell): 48.71


LiCe3Sn12: relaxed, PBE-GGA.

Structure (CIF):
```
data_LiCe3Sn12
_cell_length_a 4.692
_cell_length_b 4.692
_cell_length_c 18.865
_cell_angle_alpha 90.00
_cell_angle_beta 90.00
_cell_angle_gamma 90.00
_symmetry_space_group_name_H-M 'P 4/m m m'
_symmetry_Int_Tables_number 123
_symmetry_space_group_name_Hall '-P 4 2'
loop_
_atom_site_label
_atom_site_fract_x
_atom_site_fract_y
_atom_site_fract_z
Li1 0.000 0.000 0.000
Ce1 0.000 0.000 0.252
Ce2 0.000 0.000 0.500
Sn1 0.000 0.500 0.120
Sn2 0.000 0.500 0.375
Sn3 0.500 0.500 0.000
Sn4 0.500 0.500 0.247
Sn5 0.500 0.500 0.500
```

## Properties
Energy of formation (eV/atom): -0.43
DOS at the Fermi energy (states/eV per cell): 15.13


LiCeSn2: relaxed, PBE-GGA.

Structure (CIF):
```
data_LiCeSn2
_cell_length_a 7.389
_cell_length_b 7.389
_cell_length_c 7.389
_cell_angle_alpha 90.00
_cell_angle_beta 90.00
_cell_angle_gamma 90.00
_symmetry_space_group_name_H-M 'F m -3 m'
_symmetry_Int_Tables_number 225
_symmetry_space_group_name_Hall '-F 4 2 3'
loop_
_atom_site_label
_atom_site_fract_x
_atom_site_fract_y
_atom_site_fract_z
Li1 0.000 0.000 0.000
Ce1 0.000 0.000 0.500
Sn1 0.250 0.250 0.250
```

## Properties
Energy of formation (eV/atom): -0.43
DOS at the Fermi energy (states/eV per cell): 14.78


LiCeSn2: relaxed, PBE-GGA.

Structure (CIF):
```
data_LiCeSn2
_cell_length_a 4.6358
_cell_length_b 4.6358
_cell_length_c 16.2682
_cell_angle_alpha 90.00
_cell_angle_beta 90.00
_cell_angle_gamma 120.00
_symmetry_space_group_name_H-M 'R -3 m'
_symmetry_Int_Tables_number 166
_symmetry_space_group_name_Hall '-R 3 2"'
loop_
_atom_site_label
_atom_site_fract_x
_atom_site_fract_y
_atom_site_fract_z
Li1 0.0000 0.0000 0.0000
Ce1 0.0000 0.0000 0.5000
Sn1 0.0000 0.0000 0.2773
```

## Properties
Energy of formation (eV/atom): -0.44
DOS at the Fermi energy (states/eV per cell): 20.89


LiCe2Sn8: relaxed, PBE-GGA.

Structure (CIF):
```
data_LiCe2Sn8
_cell_length_a 4.724
_cell_length_b 4.724
_cell_length_c 12.628
_cell_angle_alpha 90.00
_cell_angle_beta 90.00
_cell_angle_gamma 90.00
_symmetry_space_group_name_H-M 'P 4/m m m'
_symmetry_Int_Tables_number 123
_symmetry_space_group_name_Hall '-P 4 2'
loop_
_atom_site_label
_atom_site_fract_x
_atom_site_fract_y
_atom_site_fract_z
Li1 0.000 0.000 0.000
Ce1 0.000 0.000 0.314
Sn1 0.000 0.500 0.126
Sn2 0.000 0.500 0.500
Sn3 0.500 0.500 0.315
```

## Properties
Energy of formation (eV/atom): -0.42
DOS at the Fermi energy (states/eV per cell): 10.95


Li2Ce2Sn3: relaxed, PBE-GGA.

Structure (CIF):
```
data_Li2Ce2Sn3
_cell_length_a 4.718
_cell_length_b 20.034
_cell_length_c 7.346
_cell_angle_alpha 90.00
_cell_angle_beta 90.00
_cell_angle_gamma 90.00
_symmetry_space_group_name_H-M 'C m c m'
_symmetry_Int_Tables_number 63
_symmetry_space_group_name_Hall '-C 2c 2'
loop_
_atom_site_label
_atom_site_fract_x
_atom_site_fract_y
_atom_site_fract_z
Li1 0.000 0.195 0.062
Ce1 0.000 0.342 0.250
Ce2 0.000 0.452 0.750
Sn1 0.000 0.069 0.553
Sn2 0.000 0.281 0.750
```

## Properties
Energy of formation (eV/atom): -0.55
DOS at the Fermi energy (states/eV per cell): 56.05


LiCeSn2: relaxed, PBE-GGA.

Structure (CIF):
```
data_LiCeSn2
_cell_length_a 4.703
_cell_length_b 4.703
_cell_length_c 4.491
_cell_angle_alpha 90.00
_cell_angle_beta 90.00
_cell_angle_gamma 90.00
_symmetry_space_group_name_H-M 'P 4/m m m'
_symmetry_Int_Tables_number 123
_symmetry_space_group_name_Hall '-P 4 2'
loop_
_atom_site_label
_atom_site_fract_x
_atom_site_fract_y
_atom_site_fract_z
Li1 0.000 0.000 0.000
Ce1 0.500 0.500 0.000
Sn1 0.000 0.500 0.500
```

## Properties
Energy of formation (eV/atom): -0.53
DOS at the Fermi energy (states/eV per cell): 5.66


Li3CeSn3: relaxed, PBE-GGA.

Structure (CIF):
```
data_Li3CeSn3
_cell_length_a 7.137
_cell_length_b 7.137
_cell_length_c 7.137
_cell_angle_alpha 90.00
_cell_angle_beta 90.00
_cell_angle_gamma 90.00
_symmetry_space_group_name_H-M 'P m -3 n'
_symmetry_Int_Tables_number 223
_symmetry_space_group_name_Hall '-P 4n 2 3'
loop_
_atom_site_label
_atom_site_fract_x
_atom_site_fract_y
_atom_site_fract_z
Li1 0.000 0.250 0.500
Ce1 0.000 0.000 0.000
Sn1 0.000 0.500 0.250
```

## Properties
Energy of formation (eV/atom): 0.12
DOS at the Fermi energy (states/eV per cell): 21.83


Li3CeSn3: relaxed, PBE-GGA.

Structure (CIF):
```
data_Li3CeSn3
_cell_length_a 8.6117
_cell_length_b 8.6117
_cell_length_c 17.0558
_cell_angle_alpha 90.00
_cell_angle_beta 90.00
_cell_angle_gamma 120.00
_symmetry_space_group_name_H-M 'R -3'
_symmetry_Int_Tables_number 148
_symmetry_space_group_name_Hall '-R 3'
loop_
_atom_site_label
_atom_site_fract_x
_atom_site_fract_y
_atom_site_fract_z
Li1 0.0022 0.6770 0.1191
Ce1 0.0000 0.0000 0.3327
Sn1 0.0003 0.2953 0.0539
```

## Properties
Energy of formation (eV/atom): -0.21
DOS at the Fermi energy (states/eV per cell): 52.40


LiCe2Sn3: relaxed, PBE-GGA.

Structure (CIF):
```
data_LiCe2Sn3
_cell_length_a 3.451
_cell_length_b 5.528
_cell_length_c 17.435
_cell_angle_alpha 90.00
_cell_angle_beta 90.00
_cell_angle_gamma 90.00
_symmetry_space_group_name_H-M 'I m m m'
_symmetry_Int_Tables_number 71
_symmetry_space_group_name_Hall '-I 2 2'
loop_
_atom_site_label
_atom_site_fract_x
_atom_site_fract_y
_atom_site_fract_z
Li1 0.000 0.000 0.000
Ce1 0.000 0.000 0.346
Sn1 0.000 0.000 0.163
Sn2 0.000 0.500 0.000
```

## Properties
Energy of formation (eV/atom): -0.39
DOS at the Fermi energy (states/eV per cell): 17.35


Li2Ce3Sn3: relaxed, PBE-GGA.

Structure (CIF):
```
data_Li2Ce3Sn3
_cell_length_a 8.5418
_cell_length_b 8.5418
_cell_length_c 3.1293
_cell_angle_alpha 90.00
_cell_angle_beta 90.00
_cell_angle_gamma 120.00
_symmetry_space_group_name_H-M 'P -6 2 m'
_symmetry_Int_Tables_number 189
_symmetry_space_group_name_Hall 'P -6 -2'
loop_
_atom_site_label
_atom_site_fract_x
_atom_site_fract_y
_atom_site_fract_z
Li1 0.3333 0.6667 0.0000
Ce1 0.0000 0.2476 0.0000
Sn1 0.0000 0.5975 0.5000
```

## Properties
Energy of formation (eV/atom): -0.42
DOS at the Fermi energy (states/eV per cell): 16.67


LiCe3Sn5: relaxed, PBE-GGA.

Structure (CIF):
```
data_LiCe3Sn5
_cell_length_a 9.2642
_cell_length_b 9.2642
_cell_length_c 6.3323
_cell_angle_alpha 90.00
_cell_angle_beta 90.00
_cell_angle_gamma 120.00
_symmetry_space_group_name_H-M 'P 63/m c m'
_symmetry_Int_Tables_number 193
_symmetry_space_group_name_Hall '-P 6c 2'
loop_
_atom_site_label
_atom_site_fract_x
_atom_site_fract_y
_atom_site_fract_z
Li1 0.0000 0.0000 0.0000
Ce1 0.0000 0.3803 0.2500
Sn1 0.0000 0.2747 0.7500
Sn2 0.3333 0.6667 0.0000
```

## Properties
Energy of formation (eV/atom): -0.53
DOS at the Fermi energy (states/eV per cell): 26.50


LiCe5Sn5: relaxed, PBE-GGA.

Structure (CIF):
```
data_LiCe5Sn5
_cell_length_a 17.299
_cell_length_b 5.740
_cell_length_c 6.585
_cell_angle_alpha 90.00
_cell_angle_beta 105.93
_cell_angle_gamma 90.00
_symmetry_space_group_name_H-M 'C 1 2/m 1'
_symmetry_Int_Tables_number 12
_symmetry_space_group_name_Hall '-C 2y'
loop_
_atom_site_label
_atom_site_fract_x
_atom_site_fract_y
_atom_site_fract_z
Li1 0.000 0.000 0.000
Ce1 0.000 0.000 0.500
Ce2 0.136 0.500 0.682
Ce3 0.185 0.500 0.204
Sn1 0.000 0.500 0.000
Sn2 0.155 0.000 0.937
Sn3 0.166 0.000 0.400
```

## Properties
Energy of formation (eV/atom): -0.34
DOS at the Fermi energy (states/eV per cell): 55.77


LiCe2Sn: relaxed, PBE-GGA.

Structure (CIF):
```
data_LiCe2Sn
_cell_length_a 3.1870
_cell_length_b 3.1870
_cell_length_c 36.2118
_cell_angle_alpha 90.00
_cell_angle_beta 90.00
_cell_angle_gamma 120.00
_symmetry_space_group_name_H-M 'R -3 m'
_symmetry_Int_Tables_number 166
_symmetry_space_group_name_Hall '-R 3 2"'
loop_
_atom_site_label
_atom_site_fract_x
_atom_site_fract_y
_atom_site_fract_z
Li1 0.0000 0.0000 0.0000
Ce1 0.0000 0.0000 0.0895
Sn1 0.0000 0.0000 0.5000
```

## Properties
Energy of formation (eV/atom): 0.00
DOS at the Fermi energy (states/eV per cell): 27.60


LiCeSn5: relaxed, PBE-GGA.

Structure (CIF):
```
data_LiCeSn5
_cell_length_a 4.578
_cell_length_b 4.578
_cell_length_c 8.550
_cell_angle_alpha 90.00
_cell_angle_beta 90.00
_cell_angle_gamma 90.00
_symmetry_space_group_name_H-M 'P 4/m m m'
_symmetry_Int_Tables_number 123
_symmetry_space_group_name_Hall '-P 4 2'
loop_
_atom_site_label
_atom_site_fract_x
_atom_site_fract_y
_atom_site_fract_z
Li1 0.000 0.000 0.000
Ce1 0.500 0.500 0.500
Sn1 0.000 0.000 0.500
Sn2 0.000 0.500 0.205
```

## Properties
Energy of formation (eV/atom): -0.32
DOS at the Fermi energy (states/eV per cell): 5.86